# Br | Alexandria via LeMat-Bulk | meta-GGA SCAN | PBEsol geometry
# - Symmetry: Fd-3m (227)
# - ρ: 3.27 Mg/m³
data_Br
_space_group_name_H-M_alt 'P 1'
_space_group_IT_number 1
_space_group_name_Hall 'P 1'
_cell_length_a 4.860
_cell_length_b 4.860
_cell_length_c 4.860
_cell_angle_alpha 60.00
_cell_angle_beta 60.00
_cell_angle_gamma 60.00
loop_
_atom_site_label
_atom_site_type_symbol
_atom_site_fract_x
_atom_site_fract_y
_atom_site_fract_z
Br1 Br 0.750 0.750 0.750
Br2 Br 0.500 0.500 0.500

---

# Br | Alexandria via LeMat-Bulk | meta-GGA SCAN | PBEsol geometry
# - Symmetry: Cmcm (63)
# - ρ: 4.12 Mg/m³
data_Br
_space_group_name_H-M_alt 'P 1'
_space_group_IT_number 1
_space_group_name_Hall 'P 1'
_cell_length_a 4.141
_cell_length_b 4.141
_cell_length_c 8.085
_cell_angle_alpha 90.00
_cell_angle_beta 90.00
_cell_angle_gamma 111.74
loop_
_atom_site_label
_atom_site_type_symbol
_atom_site_fract_x
_atom_site_fract_y
_atom_site_fract_z
Br1 Br 0.500 0.500 0.500
Br2 Br 0.171 0.171 0.750
Br3 Br 0.500 0.500 0.000
Br4 Br 0.829 0.829 0.250

---

# Br | Alexandria via LeMat-Bulk | meta-GGA SCAN | PBEsol geometry
# - Symmetry: P-1 (2)
# - ρ: 3.55 Mg/m³
data_Br
_space_group_name_H-M_alt 'P 1'
_space_group_IT_number 1
_space_group_name_Hall 'P 1'
_cell_length_a 5.463
_cell_length_b 6.790
_cell_length_c 9.088
_cell_angle_alpha 110.49
_cell_angle_beta 103.23
_cell_angle_gamma 97.84
loop_
_atom_site_label
_atom_site_type_symbol
_atom_site_fract_x
_atom_site_fract_y
_atom_site_fract_z
Br1 Br 0.176 0.681 0.199
Br2 Br 0.791 0.225 0.502
Br3 Br 0.740 0.150 0.201
Br4 Br 0.824 0.319 0.801
Br5 Br 0.260 0.850 0.799
Br6 Br 0.458 0.412 0.188
Br7 Br 0.542 0.588 0.812
Br8 Br 0.209 0.775 0.498

---

# Br | Alexandria via LeMat-Bulk | meta-GGA SCAN | PBEsol geometry
# - Symmetry: P3_121 (152)
# - ρ: 3.78 Mg/m³
data_Br
_space_group_name_H-M_alt 'P 1'
_space_group_IT_number 1
_space_group_name_Hall 'P 1'
_cell_length_a 4.072
_cell_length_b 4.072
_cell_length_c 7.324
_cell_angle_alpha 90.00
_cell_angle_beta 90.00
_cell_angle_gamma 120.00
loop_
_atom_site_label
_atom_site_type_symbol
_atom_site_fract_x
_atom_site_fract_y
_atom_site_fract_z
Br1 Br 0.906 0.000 0.500
Br2 Br 0.000 0.906 0.833
Br3 Br 0.094 0.094 0.167

---

no.,offset from the most stable computed form (meV/atom),ΔE_f (raw) (eV/f.u.)
1,774,0.77
2,0,0.00
3,33,0.03
4,114,0.11